A plane-wave DFT calculation with meta-GGA SCAN was carried out for a crystal of Ba2LiW relaxed with PBEsol.

The structure belongs to space group C2/m (No. 12); the cell edges are 10.226, 3.154 and 7.088 Å and the angles 90.00°, 94.33° and 90.00°. The asymmetric unit holds Ba at (0.243, 0.000, 0.237), Li at (0.000, 0.000, 0.500) and W at (0.000, 0.500, 0.000).

As for the final energy: -36.528 eV per atom. The magnetization is 1.0 μB per formula unit.

A plane-wave DFT calculation with meta-GGA SCAN was carried out for a crystal of SrTlSn3 relaxed with PBEsol.

The structure belongs to space group Pm-3m (No. 221); the cell edges are 5.641, 5.641 and 5.641 Å and the angles 90.00°, 90.00° and 90.00°. The asymmetric unit holds Sr at (0.000, 0.000, 0.000), Tl at (0.500, 0.500, 0.500) and Sn at (0.000, 0.500, 0.500).

The magnetization is 0.0 μB per formula unit. Its excess energy over the best structure of this formula in the dataset is 0.0000 eV/atom.

A plane-wave DFT calculation with meta-GGA SCAN was carried out for a crystal of BRuSe2 relaxed with PBEsol.

The structure belongs to space group R-3m (No. 166, hexagonal axes); the cell edges are 3.7314, 3.7314 and 18.6815 Å and the angles 90.00°, 90.00° and 120.00°. The asymmetric unit holds B at (0.0000, 0.0000, 0.0000), Ru at (0.0000, 0.0000, 0.5000) and Se at (0.0000, 0.0000, 0.1004).

As for the final energy: -20.151 eV per atom. The magnetization is 1.0 μB per formula unit.

A plane-wave DFT calculation with meta-GGA SCAN was carried out for a crystal of Pb2BrF relaxed with PBEsol.

The structure belongs to space group Fm-3m (No. 225); the cell edges are 7.237, 7.237 and 7.237 Å and the angles 90.00°, 90.00° and 90.00°. The asymmetric unit holds Pb at (0.250, 0.250, 0.250), Br at (0.000, 0.000, 0.000) and F at (0.000, 0.000, 0.500).

As for the final energy: -44.253 eV per atom. The magnetization is 0.0 μB per formula unit.

A plane-wave DFT calculation with meta-GGA SCAN was carried out for a crystal of NbTl2CrB relaxed with PBEsol.

The structure belongs to space group P4/mmm (No. 123); the cell edges are 4.697, 4.697 and 4.007 Å and the angles 90.00°, 90.00° and 90.00°. The asymmetric unit holds Nb at (0.000, 0.000, 0.000), Tl at (0.000, 0.500, 0.500), Cr at (0.500, 0.500, 0.000) and B at (0.500, 0.500, 0.500).

As for the final energy: -39.767 eV per atom. The magnetization is 1.7 μB per formula unit.

A plane-wave DFT calculation with meta-GGA SCAN was carried out for a crystal of NaLaS2 relaxed with PBEsol.

The structure belongs to space group R-3m (No. 166, hexagonal axes); the cell edges are 4.1866, 4.1866 and 19.5668 Å and the angles 90.00°, 90.00° and 120.00°. The asymmetric unit holds Na at (0.0000, 0.0000, 0.0000), La at (0.0000, 0.0000, 0.5000) and S at (0.0000, 0.0000, 0.2452).

As for the final energy: -18.771 eV per atom. The magnetization is 0.0 μB per formula unit.

A plane-wave DFT calculation with meta-GGA SCAN was carried out for a crystal of TaAsSe2Br relaxed with PBEsol.

The structure belongs to space group P4/mmm (No. 123); the cell edges are 4.987, 4.987 and 5.047 Å and the angles 90.00°, 90.00° and 90.00°. The asymmetric unit holds Ta at (0.000, 0.000, 0.000), As at (0.500, 0.500, 0.500), Se at (0.000, 0.500, 0.000) and Br at (0.000, 0.000, 0.500).

As for the final energy: -29.069 eV per atom. The magnetization is 2.7 μB per formula unit.

A plane-wave DFT calculation with meta-GGA SCAN was carried out for a crystal of K2Ag3Sb3S7 relaxed with PBEsol.

The structure belongs to space group Cmc2_1 (No. 36); the cell edges are 24.397, 8.982 and 6.716 Å and the angles 90.00°, 90.00° and 90.00°. The asymmetric unit holds K at (0.207, 0.192, 0.000), Ag at (0.000, 0.156, 0.320), Ag at (0.090, 0.006, 0.571), Sb at (0.000, 0.354, 0.875), Sb at (0.125, 0.390, 0.492), S at (0.000, 0.124, 0.678), S at (0.075, 0.269, 0.090), S at (0.170, 0.150, 0.485) and S at (0.189, 0.489, 0.756).

As for the final energy: -19.848 eV per atom. The magnetization is 0.0 μB per formula unit.